[1]
Compound: YGaN2
Source: Alexandria via LeMat-Bulk
Functional: PBE-GGA
Structure: relaxed

```
YGaN2
1.0
5.049 0.000 0.000
0.000 5.049 0.000
2.524 2.524 4.645
Y Ga N
2 2 4
Direct
0.000 0.000 0.000
0.750 0.250 0.500
0.500 0.500 0.000
0.250 0.750 0.500
0.580 0.125 0.250
0.170 0.625 0.250
0.375 0.420 0.750
0.875 0.830 0.750
```

Symmetry: I-42d, No. 122
Total moment, μB per cell: 0.0
E_tot, eV/atom: -7.38
E_form (uncorrected), kJ per mole of atoms: -81.3

---

[2]
Compound: Y2GaN
Source: Alexandria via LeMat-Bulk
Functional: PBE-GGA
Structure: relaxed

```
Y2GaN
1.0
6.779 0.000 0.000
0.000 6.779 0.000
3.389 3.389 3.905
Y Ga N
4 2 2
Direct
0.540 0.125 0.250
0.210 0.625 0.250
0.375 0.460 0.750
0.875 0.790 0.750
0.000 0.000 0.000
0.750 0.250 0.500
0.500 0.500 0.000
0.250 0.750 0.500
```

Symmetry: I-42d, No. 122
Total moment, μB per cell: 0.0
E_tot, eV/atom: -6.88
E_form (uncorrected), kJ per mole of atoms: -77.9

---

[3]
Compound: YGaN2
Source: Alexandria via LeMat-Bulk
Functional: PBE-GGA
Structure: relaxed

```
YGaN2
1.0
2.119 0.000 5.816
-1.059 1.835 5.816
-1.059 -1.835 5.816
Y Ga N
1 1 2
Direct
0.500 0.500 0.500
0.000 0.000 0.000
0.899 0.899 0.899
0.101 0.101 0.101
```

Symmetry: R-3m, No. 166
Total moment, μB per cell: 0.0
E_tot, eV/atom: -7.28
E_form (uncorrected), kJ per mole of atoms: -71.5

---

[4]
Compound: YGaN3
Source: Alexandria via LeMat-Bulk
Functional: PBE-GGA
Structure: relaxed

```
YGaN3
1.0
4.523 0.000 0.000
0.000 4.523 0.000
0.000 0.000 4.523
Y Ga N
1 1 3
Direct
0.000 0.000 0.000
0.500 0.500 0.500
0.000 0.500 0.000
0.000 0.000 0.500
0.500 0.000 0.000
```

Symmetry: Pm-3m, No. 221
Total moment, μB per cell: 5.0
E_tot, eV/atom: -5.63
E_form (uncorrected), kJ per mole of atoms: 121.9

---

[5]
Compound: YGaN2
Source: Alexandria via LeMat-Bulk
Functional: PBE-GGA
Structure: relaxed

```
YGaN2
1.0
-6.867 -0.534 -1.172
-0.964 -0.225 5.752
-0.773 5.437 2.053
Y Ga N
4 4 8
Direct
0.105 0.291 0.383
0.605 0.209 0.617
0.895 0.709 0.617
0.395 0.791 0.383
0.655 0.384 0.109
0.155 0.116 0.891
0.345 0.616 0.891
0.845 0.884 0.109
0.105 0.968 0.236
0.605 0.532 0.764
0.895 0.032 0.764
0.395 0.468 0.236
0.663 0.032 0.273
0.163 0.468 0.727
0.337 0.968 0.727
0.837 0.532 0.273
```

Symmetry: P2_1/c, No. 14
Total moment, μB per cell: 0.0
E_tot, eV/atom: -7.41
E_form (uncorrected), kJ per mole of atoms: -84.5

---

[6]
Compound: Y2ZnGaN
Source: Alexandria via LeMat-Bulk
Functional: PBE-GGA
Structure: relaxed

```
Y2ZnGaN
1.0
5.320 0.000 0.000
0.000 4.301 0.000
0.000 0.000 5.320
Y Zn Ga N
2 1 1 1
Direct
0.000 0.000 0.500
0.500 0.000 0.000
0.000 0.000 0.000
0.000 0.500 0.000
0.500 0.500 0.500
```

Symmetry: P4/mmm, No. 123
Total moment, μB per cell: 0.0
E_tot, eV/atom: -4.35
E_form (uncorrected), kJ per mole of atoms: 73.8

---

[7]
Compound: YZr2GaN
Source: Alexandria via LeMat-Bulk
Functional: PBE-GGA
Structure: relaxed

```
YZr2GaN
1.0
4.466 0.000 0.000
0.000 4.466 0.000
0.000 0.000 4.747
Y Ga Zr N
1 1 2 1
Direct
0.000 0.000 0.500
0.500 0.500 0.500
0.000 0.500 0.000
0.500 0.000 0.000
0.000 0.000 0.000
```

Symmetry: P4/mmm, No. 123
Total moment, μB per cell: 0.0
E_tot, eV/atom: -7.86
E_form (uncorrected), kJ per mole of atoms: -85.1

---

[8]
Compound: ZnGa3N
Source: Alexandria via LeMat-Bulk
Functional: PBE-GGA
Structure: relaxed

```
ZnGa3N
1.0
4.349 0.000 0.000
0.000 4.349 0.000
0.000 0.000 4.349
Zn Ga N
1 3 1
Direct
0.500 0.500 0.500
0.000 0.500 0.000
0.000 0.000 0.500
0.500 0.000 0.000
0.000 0.000 0.000
```

Symmetry: Pm-3m, No. 221
Total moment, μB per cell: 0.0
E_tot, eV/atom: -3.29
E_form (uncorrected), kJ per mole of atoms: 43.1

---

- The highest E_tot belongs to which entry?
  ZnGa3N